Entry 1:
Zn2PdF PBE optimized geometry; distance to the lowest polymorph of the same formula = 218 meV per atom; uncorrected formation energy = -2.23 eV/f.u.
1.0
0.0000 3.0622 3.0622
3.0622 0.0000 3.0622
3.0622 3.0622 0.0000
Zn F Pd
2 1 1
direct
0.7500 0.7500 0.7500 Zn
0.2500 0.2500 0.2500 Zn
0.0000 0.0000 0.0000 F
0.5000 0.5000 0.5000 Pd



Entry 2:
Ac5ScAg4 PBE optimized geometry; formation energy = -181 meV/atom
1.0
3.9579 0.0000 0.0000
0.0000 3.9579 0.0000
0.0000 0.0000 20.2794
Ac Ag Sc
5 4 1
direct
0.5000 0.5000 0.8910 Ac
0.5000 0.5000 0.5000 Ac
0.5000 0.5000 0.3034 Ac
0.5000 0.5000 0.1090 Ac
0.5000 0.5000 0.6966 Ac
0.0000 0.0000 0.7969 Ag
0.0000 0.0000 0.5972 Ag
0.0000 0.0000 0.2031 Ag
0.0000 0.0000 0.4028 Ag
0.0000 0.0000 0.0000 Sc



Entry 3:
K3TlAu2 PBE optimized geometry; distance to the lowest polymorph of the same formula = 0 meV per atom; formation energy = -213 meV/atom
1.0
9.2151 0.0000 -3.4159
0.0000 10.7242 0.0000
-1.2897 0.0000 9.7558
K Tl Au
12 4 8
direct
0.5713 0.4589 0.8222 K
0.8414 0.7110 0.1577 K
0.6768 0.0429 0.9297 K
0.3232 0.9571 0.0703 K
0.9287 0.9589 0.6778 K
0.6586 0.2110 0.3423 K
0.0713 0.0411 0.3222 K
0.3414 0.7890 0.6577 K
0.1768 0.4571 0.4297 K
0.1586 0.2890 0.8423 K
0.8232 0.5429 0.5703 K
0.4287 0.5411 0.1778 K
0.4571 0.1507 0.5433 Tl
0.5429 0.8493 0.4567 Tl
0.9571 0.3493 0.0433 Tl
0.0429 0.6507 0.9567 Tl
0.2139 0.5739 0.7875 Au
0.7139 0.9261 0.2875 Au
0.7717 0.2504 0.7285 Au
0.2283 0.7496 0.2715 Au
0.2861 0.0739 0.7125 Au
0.7283 0.7504 0.7715 Au
0.7861 0.4261 0.2125 Au
0.2717 0.2496 0.2285 Au



| no. | total magnetic moment (μB per cell) | energy (eV/atom) |
| --- | --- | --- |
| 1 | 0.0 | -2.960 |
| 2 | 0.0 | -4.009 |
| 3 | 0.0 | -2.248 |